Computed, not measured: PrBiPd after structural relaxation at the GGA-PBE level of DFT.

Computed properties:
crystal system: tetragonal
magnetization: 0.000 μB per atom
VASP energy: -5.124 eV/atom
calculated formation energy: -0.506 eV per atom
volume: 27.12 Å³ per atom

abc: 4.205 4.205 9.203
angles: 90.00 90.00 90.00
Space group I4mm (No. 107)
One atom of each set of equivalent atoms:
Pr  0.000  0.000  0.000 (multiplicity 2)
Bi  0.000  0.000  0.664 (multiplicity 2)
Pd  0.000  0.000  0.353 (multiplicity 2)